# 1
# ErPuHgRu

An optimized crystal structure of ErPuHgRu (PBE-GGA, Alexandria via LeMat-Bulk).

The total magnetization comes out at 5.26 μB/f.u. As for the space group: P4mm (99). Its polymorph energy (0 for the lowest one) is 0 meV/atom. Its final energy is -29.7 eV for the cell shown.

```
ErPuHgRu
1.0
3.3455 0.0000 0.0000
0.0000 3.3455 0.0000
0.0000 0.0000 8.0130
Er Pu Hg Ru
1 1 1 1
Direct
0.0000 0.0000 0.0000
0.0000 0.0000 0.5716
0.5000 0.5000 0.2755
0.5000 0.5000 0.7891
```

# 2
# Co2W

An optimized crystal structure of Co2W (PBE-GGA, Alexandria via LeMat-Bulk).

The total magnetization comes out at 0.00 μB/f.u. As for the space group: Pnma (62). Its final energy is -108.3 eV for the cell shown.

```
Co2W
1.0
5.1833 0.0000 0.0000
0.0000 3.6535 0.0000
0.0000 0.0000 7.7501
Co W
8 4
Direct
0.1186 0.2500 0.2450
0.1334 0.2500 0.5804
0.3666 0.7500 0.0804
0.3814 0.7500 0.7450
0.6186 0.2500 0.2550
0.6334 0.2500 0.9196
0.8666 0.7500 0.4196
0.8814 0.7500 0.7550
0.1525 0.2500 0.9043
0.3475 0.7500 0.4043
0.6525 0.2500 0.5957
0.8475 0.7500 0.0957
```

# 3
# CeHo4Er8

An optimized crystal structure of CeHo4Er8 (PBE-GGA, Alexandria via LeMat-Bulk).

The total magnetization comes out at 0.01 μB/f.u. As for the space group: R-3m (166). Its final energy is -58.4 eV for the cell shown.

```
CeHo4Er8
1.0
3.6056 2.0817 8.8419
-3.6056 2.0817 8.8419
0.0000 -4.1634 8.8419
Ce Ho Er
1 4 8
Direct
0.0000 0.0000 0.0000
0.0000 0.0000 0.5000
0.0000 0.5000 0.0000
0.5000 0.0000 0.0000
0.5000 0.5000 0.5000
0.2458 0.2458 0.6975
0.2458 0.6975 0.2458
0.2797 0.2797 0.2797
0.3025 0.7542 0.7542
0.6975 0.2458 0.2458
0.7203 0.7203 0.7203
0.7542 0.3025 0.7542
0.7542 0.7542 0.3025
```